(1)
Below is In15SnBi4 after structural relaxation, with properties calculated at the GGA-PBE level.

Its density of states at the Fermi level is 7.393 states/eV/cell. The size of the total moment comes out at 0.000 μB per atom. As for the total DFT energy (no corrections): -3.014 eV per atom.

abc: 5.0483 5.0483 22.4385
angles: 90.00 90.00 90.00
Positions (direct):
In (0.0000, 0.5000, 0.9045)
Bi (0.0000, 0.0000, 0.3975)
Bi (0.0000, 0.0000, 0.6025)
In (0.5000, 0.5000, 0.1969)
Bi (0.0000, 0.0000, 0.1943)
In (0.5000, 0.0000, 0.5000)
In (0.0000, 0.5000, 0.2964)
In (0.5000, 0.0000, 0.9045)
In (0.5000, 0.0000, 0.2964)
In (0.5000, 0.5000, 0.6014)
In (0.5000, 0.0000, 0.0955)
In (0.0000, 0.5000, 0.0955)
In (0.5000, 0.5000, 0.3986)
In (0.5000, 0.5000, 0.0000)
In (0.5000, 0.5000, 0.8031)
In (0.5000, 0.0000, 0.7036)
Sn (0.0000, 0.0000, 0.0000)
In (0.0000, 0.5000, 0.5000)
In (0.0000, 0.5000, 0.7036)
Bi (0.0000, 0.0000, 0.8057)

---

(2)
Below is La2ZnNi3 after structural relaxation, with properties calculated at the GGA-PBE level.

Its density of states at the Fermi level is 10.471 states/eV/cell. The size of the total moment comes out at 0.000 μB per atom. As for the total DFT energy (no corrections): -5.079 eV per atom.

abc: 5.7863 5.7863 8.2752
angles: 109.16 109.16 93.50
Positions (direct):
Ni (0.1653, 0.1653, 0.3307)
La (0.2500, 0.7500, 0.5000)
Ni (0.6705, 0.1644, 0.8348)
Ni (0.1644, 0.6705, 0.8348)
Ni (0.3295, 0.8356, 0.1652)
Ni (0.8347, 0.8347, 0.6693)
Zn (0.3343, 0.3343, 0.6686)
La (0.7500, 0.2500, 0.5000)
Ni (0.8356, 0.3295, 0.1652)
La (0.7553, 0.7553, 0.0000)
La (0.2447, 0.2447, 0.0000)
Zn (0.6657, 0.6657, 0.3314)

---

(3)
Below is Y2TlNi after structural relaxation, with properties calculated at the GGA-PBE level.

Its density of states at the Fermi level is 3.664 states/eV/cell. The size of the total moment comes out at 0.331 μB per atom. As for the total DFT energy (no corrections): -5.363 eV per atom.

abc: 3.5184 3.5184 7.8378
angles: 90.00 90.00 90.00
Site moments in Bohr magnetons follow the coordinates.
Positions (direct):
Ni (0.0000, 0.0000, 0.5097)  0.06
Y (0.5000, 0.5000, 0.3114)  0.21
Y (0.0000, 0.0000, 0.9733)  0.40
Tl (0.5000, 0.5000, 0.7056)  0.01

---

Q: Number 1 is which compound?
A: In15SnBi4

---

Q: What is the total DFT energy (no corrections) in the first record?
A: -3.014 eV per atom